# PBEsol Al2InMo, relaxed
# Magnetization   0.0 μB per formula unit
# Energy   -5.55 eV per atom
# N(E_F)   0.471 states/eV per atom
# Calculated formation energy   0.179 eV per atom
data_Al2InMo
_space_group_name_H-M_alt 'C 1 2/m 1'
_space_group_IT_number 12
_cell_length_a 5.600
_cell_length_b 8.824
_cell_length_c 2.875
_cell_angle_alpha 90.00
_cell_angle_beta 108.36
_cell_angle_gamma 90.00
loop_
_space_group_symop_operation_xyz
'x,y,z'
'-x,-y,-z'
'-x,y,-z'
'x,-y,z'
'x+1/2,y+1/2,z'
'-x+1/2,-y+1/2,-z'
'-x+1/2,y+1/2,-z'
'x+1/2,-y+1/2,z'
loop_
_atom_site_label
_atom_site_type_symbol
_atom_site_fract_x
_atom_site_fract_y
_atom_site_fract_z
_atom_site_occupancy
Al1 Al 0.250 0.250 0.000 1
In1 In 0.000 0.000 0.500 1
Mo1 Mo 0.000 0.500 0.500 1